1.
# NiCl2O

A relaxed NiCl2O crystal (PBE with a Hubbard U, Alexandria).

```
data_NiCl2O
_chemical_formula_sum 'Ni3 Cl6 O3'
_cell_length_a 5.2709
_cell_length_b 5.2709
_cell_length_c 18.4110
_cell_angle_alpha 90.00
_cell_angle_beta 90.00
_cell_angle_gamma 120.00
_symmetry_space_group_name_H-M 'R -3 m'
_symmetry_Int_Tables_number 166
_symmetry_space_group_name_Hall '-R 3 2"'
loop_
_atom_site_label
_atom_site_fract_x
_atom_site_fract_y
_atom_site_fract_z
_atom_site_occupancy
Ni1 0.0000 0.0000 0.0000 1
Cl1 0.0000 0.0000 0.1126 1
O1 0.0000 0.0000 0.5000 1
```

Results
Theoretical density (g/cm³): 1.637
Crystal system: trigonal
E_tot (eV per formula unit): -9.193

=====

2.
# NiCl2O

A relaxed NiCl2O crystal (PBE with a Hubbard U, Alexandria).

```
data_NiCl2O
_chemical_formula_sum 'Ni4 Cl8 O4'
_cell_length_a 5.788
_cell_length_b 5.788
_cell_length_c 11.807
_cell_angle_alpha 90.00
_cell_angle_beta 90.00
_cell_angle_gamma 90.00
_symmetry_space_group_name_H-M 'I -4 2 d'
_symmetry_Int_Tables_number 122
_symmetry_space_group_name_Hall 'I -4 2bw'
loop_
_atom_site_label
_atom_site_fract_x
_atom_site_fract_y
_atom_site_fract_z
_atom_site_occupancy
Ni1 0.000 0.000 0.000 1
Cl1 0.175 0.250 0.125 1
O1 0.000 0.000 0.500 1
```

Results
Theoretical density (g/cm³): 2.445
Crystal system: tetragonal
E_tot (eV per formula unit): -9.887

=====

no.,total moment (μB per formula unit)
1,4.00
2,4.00